## Rb2PaTlCl8 (PBE)

Data for a relaxed structure of Rb2PaTlCl8.

The structure belongs to space group P-1 (No. 2); the cell edges are 6.751, 7.645 and 9.992 Å and the angles 89.93°, 89.96° and 88.41°. The asymmetric unit holds Rb at (0.001, 0.000, 0.231), Pa at (0.500, 0.500, 0.500), Tl at (0.500, 0.500, 0.000), Cl at (0.210, 0.797, 0.000), Cl at (0.272, 0.776, 0.500), Cl at (0.288, 0.363, 0.682) and Cl at (0.288, 0.365, 0.318).

The density of states at the Fermi level comes out at 0.079 states/eV per atom. As for the crystal system: triclinic. The value obtained for the total energy is -4.11 eV/atom. The uncorrected formation energy comes out at -1.734 eV/atom.